1.
# Ac2ScBr2N2

A geometry-optimized Ac2ScBr2N2 structure (PBE, Alexandria via LeMat-Bulk).

Space group = I4/mmm (139)
Energy = -6.4846 eV/atom

Cell lengths 4.3529, 4.3529, 8.9680 Å; angles 104.05, 104.05, 90.00 degrees
Last column: nearest neighbours and their distance in Å.
Sites, in units of the cell vectors:
Sc: 0.0000 0.0000 0.0000  4 N 2.18
N: 0.0000 0.5000 0.0000  2 Sc 2.18
N: 0.5000 0.0000 0.0000  2 Sc 2.18
Ac: 0.4028 0.4028 0.8057  4 N 2.72
Br: 0.1851 0.1851 0.3701  1 Sc 3.12, 4 Ac 3.42
Ac: 0.5972 0.5972 0.1943  4 N 2.72
Br: 0.8149 0.8149 0.6299  1 Sc 3.12, 4 Ac 3.42


2.
# Ac2SeBr2N

A geometry-optimized Ac2SeBr2N structure (PBE, Alexandria via LeMat-Bulk).

Space group = Pmc2_1 (26)
Energy = -5.4743 eV/atom

Cell lengths 4.5685, 7.8694, 9.4855 Å; angles 90.00, 90.00, 90.00 degrees
Last column: nearest neighbours and their distance in Å.
Sites, in units of the cell vectors:
Br: 0.0000 0.8482 0.8478  3 Ac 3.10-3.25
Br: 0.5000 0.9966 0.1361  3 Ac 3.29-3.38, 1 N 3.31, 2 Br 3.59
Br: 0.5000 0.4966 0.8639  3 Ac 3.29-3.38, 1 N 3.31, 2 Br 3.59
Ac: 0.0000 0.7258 0.2439  2 N 2.54
Se: 0.0000 0.5162 0.5366  6 Ac 3.09-3.24, 2 N 3.12
N: 0.5000 0.6632 0.3483  3 Ac 2.54-2.67
Ac: 0.0000 0.2258 0.7561  2 N 2.54
N: 0.5000 0.1632 0.6517  3 Ac 2.54-2.67
Ac: 0.5000 0.7956 0.6080  2 N 2.67-2.92
Se: 0.0000 0.0162 0.4634  6 Ac 3.09-3.24, 2 N 3.12
Ac: 0.5000 0.2956 0.3920  2 N 2.67-2.92
Br: 0.0000 0.3482 0.1522  3 Ac 3.10-3.25


| no. | N(E_F) (states/eV per cell) |
| --- | --- |
| 1 | 3.51 |
| 2 | 1.58 |